## ThNiH (GGA-PBE)

Data for an optimized crystal structure of ThNiH.

## Properties
- raw total energy (eV/atom) = -5.73

Cell: 3.833 3.833 7.018 Å, 90.00 90.00 90.00°
Positions (direct):
Th1 0.000 0.000 0.000
Th2 0.500 0.500 0.500
Ni1 0.000 0.000 0.452
Ni2 0.500 0.500 0.952
H1 0.000 0.000 0.669
H2 0.500 0.500 0.169

## Ac2CdSi3 (GGA-PBE)

Data for an optimized crystal structure of Ac2CdSi3.

## Properties
- formation energy (no corrections) (eV/atom) = -0.53

Cell: 4.493 4.583 14.783 Å, 90.00 90.00 90.00°
Positions (direct):
Ac1 0.000 0.000 0.000
Ac2 0.000 0.500 0.263
Ac3 0.500 0.000 0.763
Ac4 0.500 0.500 0.500
Cd1 0.000 0.000 0.591
Cd2 0.500 0.500 0.091
Si1 0.000 0.000 0.415
Si2 0.000 0.500 0.681
Si3 0.000 0.500 0.842
Si4 0.500 0.000 0.181
Si5 0.500 0.000 0.342
Si6 0.500 0.500 0.915

## NdTl2RuO6 (GGA-PBE)

Data for an optimized crystal structure of NdTl2RuO6.

## Properties
- formation energy (no corrections) (eV/atom) = -1.25

Cell: 6.283 6.283 5.953 Å, 90.00 90.00 120.00°
Positions (direct):
Nd1 0.000 0.000 0.000
Tl1 0.333 0.667 0.515
Tl2 0.667 0.333 0.485
Ru1 0.000 0.000 0.500
O1 0.143 0.285 0.305
O2 0.143 0.857 0.305
O3 0.285 0.143 0.695
O4 0.715 0.857 0.305
O5 0.857 0.143 0.695
O6 0.857 0.715 0.695

## Na2ScSiS4 (GGA-PBE)

Data for an optimized crystal structure of Na2ScSiS4.

## Properties
- formation energy (no corrections) (eV/atom) = -1.14

Cell: 7.567 7.567 7.567 Å, 121.31 118.92 89.81°
Positions (direct):
Na1 0.000 0.000 0.000
Na2 0.500 0.000 0.000
Na3 0.500 0.000 0.500
Na4 0.500 0.500 0.500
Sc1 0.000 0.500 0.500
Sc2 0.500 0.500 0.000
Si1 0.000 0.000 0.500
Si2 0.000 0.500 0.000
S1 0.208 0.741 0.467
S2 0.226 0.259 0.967
S3 0.228 0.242 0.515
S4 0.228 0.713 0.985
S5 0.772 0.287 0.015
S6 0.772 0.758 0.485
S7 0.774 0.741 0.033
S8 0.792 0.259 0.533

## MgAg (GGA-PBE)

Data for an optimized crystal structure of MgAg.

## Properties
- raw total energy (eV/atom) = -2.39

Cell: 9.509 4.322 5.836 Å, 90.00 109.50 90.00°
Positions (direct):
Mg1 0.000 0.000 0.000
Mg2 0.156 0.500 0.796
Mg3 0.344 0.000 0.204
Mg4 0.500 0.500 0.000
Mg5 0.656 0.000 0.796
Mg6 0.844 0.500 0.204
Ag1 0.000 0.000 0.500
Ag2 0.169 0.500 0.310
Ag3 0.331 0.000 0.690
Ag4 0.500 0.500 0.500
Ag5 0.669 0.000 0.310
Ag6 0.831 0.500 0.690

## Ac2BiN (GGA-PBE)

Data for an optimized crystal structure of Ac2BiN.

## Properties
- formation energy (no corrections) (eV/atom) = -0.44

Cell: 3.508 3.508 8.375 Å, 90.00 90.00 90.00°
Positions (direct):
Ac1 0.000 0.000 0.192
Ac2 0.000 0.000 0.808
Bi1 0.500 0.500 0.500
N1 0.500 0.500 0.000